! Tb10PmSc4 PBE-GGA optimized geometry; values from VASP
&SYSTEM
  ibrav = 0, nat = 15, ntyp = 3
/
ATOMIC_SPECIES
Tb 158.93 Tb.upf
Pm 145.00 Pm.upf
Sc 44.96 Sc.upf
CELL_PARAMETERS angstrom
0.239 6.712 5.710
6.371 0.491 5.961
4.340 7.321 -1.983
ATOMIC_POSITIONS crystal
Tb 0.250 0.500 0.500
Tb 0.695 0.336 0.903
Tb 0.969 0.097 0.336
Tb 0.402 0.903 0.664
Tb 0.934 0.664 0.097
Tb 0.305 0.664 0.097
Tb 0.750 0.500 0.500
Tb 0.066 0.336 0.903
Tb 0.598 0.097 0.336
Tb 0.031 0.903 0.664
Pm 0.000 0.000 0.000
Sc 0.453 0.818 0.276
Sc 0.729 0.724 0.818
Sc 0.271 0.276 0.182
Sc 0.547 0.182 0.724
! **M_tot**: 0.0 μB/cell
! **DFT total energy**: -67.69 eV per cell
! **Calculated density**: 6.333 g cm⁻³
! **ΔH_f (0 K)**: 0.579 eV/atom